Arrangement w

SmZrSe2 | Alexandria via LeMat-Bulk | PBE | relaxed; DOS at the Fermi energy = 3.1 states/eV per cell
1.0
3.894 0.000 0.000
1.947 3.373 0.000
1.947 1.124 7.065
Sm Se Zr
1 2 1
direct
0.497 0.497 0.510 Sm
0.257 0.257 0.230 Se
0.077 0.077 0.770 Se
0.670 0.670 0.990 Zr

=====

Arrangement x

SmZrSe2 | Alexandria via LeMat-Bulk | PBE | relaxed; DOS at the Fermi energy = 3.4 states/eV per cell
1.0
3.772 0.000 0.000
1.886 3.267 0.000
1.886 1.089 9.084
Zr Sm Se
1 1 2
direct
0.500 0.500 0.500 Zr
0.000 0.000 0.000 Sm
0.894 0.894 0.318 Se
0.106 0.106 0.682 Se

=====

Most stable to least stable, the ends of the list are arrangement w and arrangement x.

=====

Arrangement w

VASP calculation (PBE) on crystalline Sm2ZrSe5 at its relaxed geometry.

Structure (POSCAR):
```
Sm2ZrSe5
1.0
-4.227 1.574 6.257
6.402 -1.945 4.815
3.809 11.653 -0.357
Sm Se Zr
8 20 4
direct
0.526 0.004 0.679 Sm
0.474 0.996 0.321 Sm
0.526 0.496 0.679 Sm
0.974 0.496 0.179 Sm
0.474 0.504 0.321 Sm
0.026 0.996 0.821 Sm
0.026 0.504 0.821 Sm
0.974 0.004 0.179 Sm
0.162 0.038 0.592 Se
0.833 0.750 0.681 Se
0.338 0.038 0.092 Se
0.813 0.250 0.708 Se
0.052 0.750 0.004 Se
0.687 0.250 0.208 Se
0.167 0.250 0.319 Se
0.838 0.962 0.408 Se
0.162 0.462 0.592 Se
0.338 0.462 0.092 Se
0.662 0.538 0.908 Se
0.448 0.750 0.504 Se
0.948 0.250 0.996 Se
0.187 0.750 0.292 Se
0.552 0.250 0.496 Se
0.667 0.750 0.181 Se
0.313 0.750 0.792 Se
0.333 0.250 0.819 Se
0.838 0.538 0.408 Se
0.662 0.962 0.908 Se
0.580 0.250 0.993 Zr
0.420 0.750 0.007 Zr
0.920 0.250 0.493 Zr
0.080 0.750 0.507 Zr
```

=====

Arrangement x

VASP calculation (PBE) on crystalline Sm2ZrSe5 at its relaxed geometry.

Structure (POSCAR):
```
Sm2ZrSe5
1.0
-5.447 1.015 0.477
1.349 -5.923 -4.411
-0.573 -8.133 10.747
Se Zr Sm
10 2 4
direct
0.691 0.381 0.585 Se
0.309 0.619 0.415 Se
0.952 0.903 0.876 Se
0.048 0.097 0.124 Se
0.309 0.619 0.085 Se
0.691 0.381 0.915 Se
0.268 0.535 0.750 Se
0.732 0.465 0.250 Se
0.048 0.097 0.376 Se
0.952 0.903 0.624 Se
0.809 0.619 0.750 Zr
0.191 0.381 0.250 Zr
0.147 0.295 0.562 Sm
0.853 0.705 0.438 Sm
0.147 0.295 0.938 Sm
0.853 0.705 0.062 Sm
```

=====

Most stable to least stable, the ends of the list are arrangement w and arrangement x.